(1)
A geometry-optimized Cs4PuCl7 structure. Source: Alexandria via LeMat-Bulk, functional PBE.

POSCAR file:
```
Cs4PuCl7
1.0
5.1709 0.0000 -1.6888
-1.2698 6.8356 -3.8880
1.3247 2.6853 12.8173
Cl Cs Pu
7 4 1
Direct
0.8970 0.7590 0.7941 Cl
0.1030 0.2410 0.2059 Cl
0.0437 0.7360 0.0873 Cl
0.2852 0.2518 0.5705 Cl
0.7148 0.7482 0.4295 Cl
0.5000 0.0000 0.0000 Cl
0.9563 0.2640 0.9127 Cl
0.4159 0.4859 0.8319 Cs
0.5841 0.5141 0.1681 Cs
0.7027 0.1742 0.4055 Cs
0.2973 0.8258 0.5945 Cs
0.0000 0.0000 0.0000 Pu
```

Formation energy from raw total energies = -1951.8 meV/atom
Total magnetic moment = 5.0 Bohr magnetons per cell

(2)
A geometry-optimized CeSbTe structure. Source: Alexandria via LeMat-Bulk, functional PBE.

POSCAR file:
```
CeSbTe
1.0
4.3796 0.0000 0.0000
0.0000 4.3796 0.0000
-2.1898 -2.1898 9.2658
Sb Te Ce
2 2 2
Direct
0.0000 0.5000 0.0000 Sb
0.5000 0.0000 0.0000 Sb
0.1858 0.1858 0.3716 Te
0.8142 0.8142 0.6284 Te
0.3641 0.3641 0.7282 Ce
0.6359 0.6359 0.2718 Ce
```

Formation energy from raw total energies = -1121.6 meV/atom
Total magnetic moment = 1.5 Bohr magnetons per cell

(3)
A geometry-optimized Pr4Bi2Pb structure. Source: Alexandria via LeMat-Bulk, functional PBE.

POSCAR file:
```
Pr4Bi2Pb
1.0
-7.9582 2.8077 0.6143
0.1425 -7.1589 -4.5083
3.0435 -1.4712 7.7567
Pr Bi Pb
8 4 2
Direct
0.7672 0.2496 0.8763 Pr
0.1237 0.8909 0.3733 Pr
0.9828 0.6091 0.7324 Pr
0.1233 0.3909 0.3737 Pr
0.6263 0.7496 0.0172 Pr
0.2676 0.2504 0.8767 Pr
0.4824 0.1091 0.2328 Pr
0.6267 0.7504 0.5176 Pr
0.4989 0.3739 0.6250 Bi
0.2511 0.6261 0.1250 Bi
0.8750 0.1261 0.5011 Bi
0.3750 0.8739 0.7489 Bi
0.7500 0.5000 0.2500 Pb
0.0000 0.0000 0.0000 Pb
```

Total magnetic moment = 0.0 Bohr magnetons per cell
Formation enthalpy at 0 K = -17.5 kcal/mol of atoms

(4)
A geometry-optimized DyYZnTc structure. Source: Alexandria via LeMat-Bulk, functional PBE.

POSCAR file:
```
DyYZnTc
1.0
-2.0463 2.9985 -3.3402
-0.8699 -1.6307 -4.5738
-4.6342 -0.7775 -1.5017
Tc Zn Y Dy
1 1 1 1
Direct
0.5000 0.5000 0.5000 Tc
0.0000 0.0000 0.0000 Zn
0.7500 0.7500 0.7500 Y
0.2500 0.2500 0.2500 Dy
```

Total magnetic moment = 0.0 Bohr magnetons per cell
Formation enthalpy at 0 K = -3.3 kcal/mol of atoms

(5)
A geometry-optimized TaAsAuBr2 structure. Source: Alexandria via LeMat-Bulk, functional PBE.

POSCAR file:
```
TaAsAuBr2
1.0
5.0886 0.0000 0.0000
0.0000 5.0886 0.0000
0.0000 0.0000 5.2149
Au Br Ta As
1 2 1 1
Direct
0.0000 0.0000 0.0000 Au
0.5000 0.0000 0.0000 Br
0.0000 0.5000 0.0000 Br
0.5000 0.5000 0.5000 Ta
0.0000 0.0000 0.5000 As
```

Formation energy from raw total energies = 1240.9 meV/atom
Total magnetic moment = 2.2 Bohr magnetons per cell

(6)
A geometry-optimized ReAs2P structure. Source: Alexandria via LeMat-Bulk, functional PBE.

POSCAR file:
```
ReAs2P
1.0
-2.4376 -0.8555 1.2308
2.3826 -0.1857 1.5740
-1.4264 8.6367 3.1781
P As Re
1 2 1
Direct
0.5000 0.5000 0.2500 P
0.0000 0.0000 0.9764 As
0.0000 0.0000 0.5236 As
0.5000 0.5000 0.7500 Re
```

Total magnetic moment = 0.0 Bohr magnetons per cell
Formation enthalpy at 0 K = 14.3 kcal/mol of atoms

(7)
A geometry-optimized Na3AlF6 structure. Source: Alexandria via LeMat-Bulk, functional PBE.

POSCAR file:
```
Na3AlF6
1.0
-3.5488 2.5582 -3.4976
-2.3800 -2.9064 -4.1545
-5.4669 -1.1967 0.2282
F Na Al
6 3 1
Direct
0.1795 0.7046 0.3811 F
0.6189 0.8205 0.2954 F
0.2954 0.6189 0.8205 F
0.8205 0.2954 0.6189 F
0.3811 0.1795 0.7046 F
0.7046 0.3811 0.1795 F
0.7300 0.7300 0.7300 Na
0.2700 0.2700 0.2700 Na
0.0000 0.0000 0.0000 Na
0.5000 0.5000 0.5000 Al
```

Formation energy from raw total energies = -3132.8 meV/atom
Total magnetic moment = 0.1 Bohr magnetons per cell

(8)
A geometry-optimized Cr2ReSb structure. Source: Alexandria via LeMat-Bulk, functional PBE.

POSCAR file:
```
Cr2ReSb
1.0
-0.8415 -2.3400 1.8572
2.7389 -1.3748 -0.4911
2.3383 2.9514 4.7780
Re Cr Sb
1 2 1
Direct
0.5000 0.5000 0.2500 Re
0.0000 0.0000 0.4857 Cr
0.0000 0.0000 0.0143 Cr
0.5000 0.5000 0.7500 Sb
```

Formation energy from raw total energies = 361.0 meV/atom
Total magnetic moment = 0.0 Bohr magnetons per cell

(9)
A geometry-optimized Ac2SbO structure. Source: Alexandria via LeMat-Bulk, functional PBE.

POSCAR file:
```
Ac2SbO
1.0
-2.5278 -2.5191 -2.3882
-1.4858 -3.6938 1.6085
-7.0596 1.3133 2.2265
Sb Ac O
1 2 1
Direct
0.0000 0.0000 0.0000 Sb
0.7656 0.7656 0.7033 Ac
0.2344 0.2344 0.2967 Ac
0.5000 0.5000 0.5000 O
```

Formation energy from raw total energies = -1681.1 meV/atom
Total magnetic moment = 0.0 Bohr magnetons per cell

(10)
A geometry-optimized ScCo2Pd structure. Source: Alexandria via LeMat-Bulk, functional PBE.

POSCAR file:
```
ScCo2Pd
1.0
3.6435 0.0000 0.0000
0.0000 3.6435 0.0000
1.8217 1.8217 9.2903
Sc Co Pd
2 4 2
Direct
0.5000 0.5000 0.0000 Sc
0.2500 0.7500 0.5000 Sc
0.1214 0.6250 0.2500 Co
0.3750 0.3714 0.7500 Co
0.6286 0.1250 0.2500 Co
0.8750 0.8786 0.7500 Co
0.7500 0.2500 0.5000 Pd
0.0000 0.0000 0.0000 Pd
```

Total magnetic moment = 6.0 Bohr magnetons per cell
Formation enthalpy at 0 K = 1.8 kcal/mol of atoms

(11)
A geometry-optimized Tm2Mn16Fe structure. Source: Alexandria via LeMat-Bulk, functional PBE.

POSCAR file:
```
Tm2Mn16Fe
1.0
6.2593 -0.1345 0.5559
0.4967 6.2410 0.5559
-0.1488 -0.1345 6.2822
Mn Fe Tm
16 1 2
Direct
0.2758 0.7232 0.9992 Mn
0.9986 0.5020 0.9986 Mn
0.9992 0.2758 0.7232 Mn
0.3566 0.3566 0.8763 Mn
0.1252 0.6436 0.6436 Mn
0.3566 0.8763 0.3566 Mn
0.1012 0.1012 0.1012 Mn
0.6436 0.1252 0.6436 Mn
0.2758 0.9992 0.7232 Mn
0.7232 0.2758 0.9992 Mn
0.5020 0.9986 0.9986 Mn
0.8763 0.3566 0.3566 Mn
0.7232 0.9992 0.2758 Mn
0.9986 0.9986 0.5020 Mn
0.9992 0.7232 0.2758 Mn
0.6436 0.6436 0.1252 Mn
0.8995 0.8995 0.8995 Fe
0.3555 0.3555 0.3555 Tm
0.6462 0.6462 0.6462 Tm
```

Total magnetic moment = 4.0 Bohr magnetons per cell
Formation enthalpy at 0 K = -0.3 kcal/mol of atoms

(12)
A geometry-optimized ScBeNb structure. Source: Alexandria via LeMat-Bulk, functional PBE.

POSCAR file:
```
ScBeNb
1.0
4.6510 -0.0001 -0.0002
-2.3145 4.7163 0.0025
-0.0245 -2.7079 4.5399
Be Sc Nb
2 2 2
Direct
0.8794 0.2644 0.4751 Be
0.1206 0.7356 0.5249 Be
0.1695 0.8391 0.0632 Sc
0.8305 0.1609 0.9368 Sc
0.5684 0.6326 0.3052 Nb
0.4316 0.3674 0.6948 Nb
```

Total magnetic moment = 0.0 Bohr magnetons per cell
Formation enthalpy at 0 K = 0.4 kcal/mol of atoms